(1)
The following is a DFT calculation (GGA-PBE) of a geometry-optimized NaCr3H structure.

Cell and atoms, written as CIF:
```
data_NaCr3H
_chemical_formula_sum 'Na1 Cr3 H1'
_cell_length_a 3.827
_cell_length_b 3.827
_cell_length_c 3.827
_cell_angle_alpha 90.00
_cell_angle_beta 90.00
_cell_angle_gamma 90.00
_space_group_name_H-M_alt 'P m -3 m'
_space_group_IT_number 221
_space_group_name_Hall '-P 4 2 3'
loop_
_atom_site_label
_atom_site_fract_x
_atom_site_fract_y
_atom_site_fract_z
Na1 0.000 0.000 0.000
Cr1 0.000 0.500 0.500
H1 0.500 0.500 0.500
```

Summary:
calculated volume	56.1	Å³ per cell
DFT total energy	-0.2109	hartree per atom


(2)
The following is a DFT calculation (GGA-PBE) of a geometry-optimized Hf2ThZr structure.

Cell and atoms, written as CIF:
```
data_Hf2ThZr
_chemical_formula_sum 'Hf6 Th3 Zr3'
_cell_length_a 3.2692
_cell_length_b 3.2692
_cell_length_c 32.2464
_cell_angle_alpha 90.00
_cell_angle_beta 90.00
_cell_angle_gamma 120.00
_space_group_name_H-M_alt 'R 3 m'
_space_group_IT_number 160
_space_group_name_Hall 'R 3 -2"'
loop_
_atom_site_label
_atom_site_fract_x
_atom_site_fract_y
_atom_site_fract_z
Hf1 0.0000 0.0000 0.0000
Hf2 0.0000 0.0000 0.1767
Th1 0.0000 0.0000 0.7546
Zr1 0.0000 0.0000 0.5880
```

Summary:
calculated volume	298.5	Å³ per cell
E_form	0.50	eV/f.u.
DFT total energy	-0.3250	hartree per atom
ΔE to the lowest computed polymorph	0.0056	eV per atom


(3)
The following is a DFT calculation (GGA-PBE) of a geometry-optimized Hf3InCu structure.

Cell and atoms, written as CIF:
```
data_Hf3InCu
_chemical_formula_sum 'Hf6 In2 Cu2'
_cell_length_a 6.8479
_cell_length_b 6.8479
_cell_length_c 5.2724
_cell_angle_alpha 90.00
_cell_angle_beta 90.00
_cell_angle_gamma 120.00
_space_group_name_H-M_alt 'P 63/m m c'
_space_group_IT_number 194
_space_group_name_Hall '-P 6c 2c'
loop_
_atom_site_label
_atom_site_fract_x
_atom_site_fract_y
_atom_site_fract_z
Hf1 0.1858 0.3717 0.2500
In1 0.3333 0.6667 0.7500
Cu1 0.0000 0.0000 0.0000
```

Summary:
calculated volume	214.1	Å³ per cell
E_form	0.74	eV/f.u.
DFT total energy	-0.2643	hartree per atom
ΔE to the lowest computed polymorph	0.0000	eV per atom


(4)
The following is a DFT calculation (GGA-PBE) of a geometry-optimized Sc4InNi2Pd structure.

Cell and atoms, written as CIF:
```
data_Sc4InNi2Pd
_chemical_formula_sum 'Sc12 In3 Ni6 Pd3'
_cell_length_a 4.6866
_cell_length_b 4.6866
_cell_length_c 23.0469
_cell_angle_alpha 90.00
_cell_angle_beta 90.00
_cell_angle_gamma 120.00
_space_group_name_H-M_alt 'R -3 m'
_space_group_IT_number 166
_space_group_name_Hall '-R 3 2"'
loop_
_atom_site_label
_atom_site_fract_x
_atom_site_fract_y
_atom_site_fract_z
Sc1 0.0000 0.0000 0.1186
Sc2 0.0000 0.0000 0.3704
In1 0.0000 0.0000 0.5000
Ni1 0.0000 0.0000 0.2439
Pd1 0.0000 0.0000 0.0000
```

Summary:
calculated volume	438.4	Å³ per cell
E_form	-4.28	eV/f.u.
DFT total energy	-0.2255	hartree per atom


(5)
The following is a DFT calculation (GGA-PBE) of a geometry-optimized Li3TmTl3 structure.

Cell and atoms, written as CIF:
```
data_Li3TmTl3
_chemical_formula_sum 'Li6 Tm2 Tl6'
_cell_length_a 7.138
_cell_length_b 7.138
_cell_length_c 7.138
_cell_angle_alpha 90.00
_cell_angle_beta 90.00
_cell_angle_gamma 90.00
_space_group_name_H-M_alt 'P m -3 n'
_space_group_IT_number 223
_space_group_name_Hall '-P 4n 2 3'
loop_
_atom_site_label
_atom_site_fract_x
_atom_site_fract_y
_atom_site_fract_z
Li1 0.000 0.250 0.500
Tm1 0.000 0.000 0.000
Tl1 0.000 0.500 0.250
```

Summary:
calculated volume	363.7	Å³ per cell
E_form	1.81	eV/f.u.
DFT total energy	-0.0814	hartree per atom


(6)
The following is a DFT calculation (GGA-PBE) of a geometry-optimized TiCdRh2 structure.

Cell and atoms, written as CIF:
```
data_TiCdRh2
_chemical_formula_sum 'Ti1 Cd1 Rh2'
_cell_length_a 3.132
_cell_length_b 3.132
_cell_length_c 6.472
_cell_angle_alpha 90.00
_cell_angle_beta 90.00
_cell_angle_gamma 90.00
_space_group_name_H-M_alt 'P 4/m m m'
_space_group_IT_number 123
_space_group_name_Hall '-P 4 2'
loop_
_atom_site_label
_atom_site_fract_x
_atom_site_fract_y
_atom_site_fract_z
Ti1 0.000 0.000 0.000
Cd1 0.000 0.000 0.500
Rh1 0.500 0.500 0.222
```

Summary:
calculated volume	63.5	Å³ per cell
E_form	-2.39	eV/f.u.
DFT total energy	-0.2380	hartree per atom


(7)
The following is a DFT calculation (GGA-PBE) of a geometry-optimized SiSbTe structure.

Cell and atoms, written as CIF:
```
data_SiSbTe
_chemical_formula_sum 'Si4 Sb4 Te4'
_cell_length_a 5.098
_cell_length_b 5.211
_cell_length_c 10.985
_cell_angle_alpha 90.00
_cell_angle_beta 90.00
_cell_angle_gamma 90.00
_space_group_name_H-M_alt 'F m m 2'
_space_group_IT_number 42
_space_group_name_Hall 'F 2 -2'
loop_
_atom_site_label
_atom_site_fract_x
_atom_site_fract_y
_atom_site_fract_z
Si1 0.000 0.000 0.000
Sb1 0.000 0.000 0.638
Te1 0.000 0.000 0.353
```

Summary:
calculated volume	291.8	Å³ per cell
energy relative to the elements, uncorrected	1.23	eV/f.u.
DFT total energy	-0.1403	hartree per atom
ΔE to the lowest computed polymorph	0.2327	eV per atom


(8)
The following is a DFT calculation (GGA-PBE) of a geometry-optimized BiPd3Au structure.

Cell and atoms, written as CIF:
```
data_BiPd3Au
_chemical_formula_sum 'Bi1 Pd3 Au1'
_cell_length_a 5.026
_cell_length_b 5.026
_cell_length_c 5.026
_cell_angle_alpha 90.00
_cell_angle_beta 90.00
_cell_angle_gamma 90.00
_space_group_name_H-M_alt 'P m -3 m'
_space_group_IT_number 221
_space_group_name_Hall '-P 4 2 3'
loop_
_atom_site_label
_atom_site_fract_x
_atom_site_fract_y
_atom_site_fract_z
Bi1 0.000 0.000 0.000
Pd1 0.000 0.000 0.500
Au1 0.500 0.500 0.500
```

Summary:
calculated volume	127.0	Å³ per cell
E_form	3.88	eV/f.u.
DFT total energy	-0.1386	hartree per atom
ΔE to the lowest computed polymorph	0.9589	eV per atom